[1]
## CaSc2HgN (PBE)

Data for CaSc2HgN after structural relaxation.

Calculated values
* E above lowest polymorph: 39.3 kJ per mole of atoms

```
data_CaSc2HgN
_chemical_formula_sum 'Ca1 Sc2 Hg1 N1'
_space_group_name_H-M_alt 'P 1'
_space_group_IT_number 1
_cell_length_a 4.347
_cell_length_b 6.143
_cell_length_c 4.347
_cell_angle_alpha 90.00
_cell_angle_beta 90.00
_cell_angle_gamma 90.00
loop_
_space_group_symop_operation_xyz
'x,y,z'
loop_
_atom_site_label
_atom_site_fract_x
_atom_site_fract_y
_atom_site_fract_z
N1 0.000 0.000 0.000
Ca1 0.500 0.500 0.500
Sc1 0.500 0.000 0.000
Hg1 0.000 0.500 0.000
Sc2 0.000 0.000 0.500
```

***

[2]
## CaSc2HgN (PBE)

Data for CaSc2HgN after structural relaxation.

Calculated values
* E above lowest polymorph: 0.0 kJ per mole of atoms

```
data_CaSc2HgN
_chemical_formula_sum 'Ca1 Sc2 Hg1 N1'
_space_group_name_H-M_alt 'P 1'
_space_group_IT_number 1
_cell_length_a 4.449
_cell_length_b 4.449
_cell_length_c 4.929
_cell_angle_alpha 90.00
_cell_angle_beta 90.00
_cell_angle_gamma 90.00
loop_
_space_group_symop_operation_xyz
'x,y,z'
loop_
_atom_site_label
_atom_site_fract_x
_atom_site_fract_y
_atom_site_fract_z
Sc1 0.000 0.500 0.000
N1 0.000 0.000 0.000
Hg1 0.500 0.500 0.500
Ca1 0.000 0.000 0.500
Sc2 0.500 0.000 0.000
```

***

[3]
## Ca2ScHgN (PBE)

Data for Ca2ScHgN after structural relaxation.

Calculated values
* calculated total energy: -4.574 eV/atom

```
data_Ca2ScHgN
_chemical_formula_sum 'Ca2 Sc1 Hg1 N1'
_space_group_name_H-M_alt 'P 1'
_space_group_IT_number 1
_cell_length_a 5.017
_cell_length_b 5.017
_cell_length_c 4.316
_cell_angle_alpha 90.00
_cell_angle_beta 90.00
_cell_angle_gamma 90.00
loop_
_space_group_symop_operation_xyz
'x,y,z'
loop_
_atom_site_label
_atom_site_fract_x
_atom_site_fract_y
_atom_site_fract_z
Ca1 0.500 0.000 0.000
Hg1 0.500 0.500 0.500
Ca2 0.000 0.500 0.000
N1 0.000 0.000 0.000
Sc1 0.000 0.000 0.500
```

***

[4]
## CaHgSeN2 (PBE)

Data for CaHgSeN2 after structural relaxation.

Calculated values
* E above lowest polymorph: 0.0 kJ per mole of atoms

```
data_CaHgSeN2
_chemical_formula_sum 'Ca1 Hg1 Se1 N2'
_space_group_name_H-M_alt 'P 1'
_space_group_IT_number 1
_cell_length_a 4.326
_cell_length_b 4.326
_cell_length_c 5.732
_cell_angle_alpha 90.00
_cell_angle_beta 90.00
_cell_angle_gamma 90.00
loop_
_space_group_symop_operation_xyz
'x,y,z'
loop_
_atom_site_label
_atom_site_fract_x
_atom_site_fract_y
_atom_site_fract_z
N1 0.500 0.000 0.000
N2 0.000 0.500 0.000
Hg1 0.000 0.000 0.000
Se1 0.000 0.000 0.500
Ca1 0.500 0.500 0.500
```

***

[5]
## CaHgSeN2 (PBE)

Data for CaHgSeN2 after structural relaxation.

Calculated values
* E above lowest polymorph: 17.7 kJ per mole of atoms

```
data_CaHgSeN2
_chemical_formula_sum 'Ca1 Hg1 Se1 N2'
_space_group_name_H-M_alt 'P 1'
_space_group_IT_number 1
_cell_length_a 4.580
_cell_length_b 4.580
_cell_length_c 5.964
_cell_angle_alpha 90.00
_cell_angle_beta 90.00
_cell_angle_gamma 90.00
loop_
_space_group_symop_operation_xyz
'x,y,z'
loop_
_atom_site_label
_atom_site_fract_x
_atom_site_fract_y
_atom_site_fract_z
Se1 0.000 0.000 0.500
Ca1 0.000 0.000 0.000
N1 0.000 0.500 0.000
Hg1 0.500 0.500 0.500
N2 0.500 0.000 0.000
```

***

[6]
## Ca12Sn4HgN3 (PBE)

Data for Ca12Sn4HgN3 after structural relaxation.

Calculated values
* calculated total energy: -3.976 eV/atom

```
data_Ca12Sn4HgN3
_chemical_formula_sum 'Ca12 Sn4 Hg1 N3'
_space_group_name_H-M_alt 'P 1'
_space_group_IT_number 1
_cell_length_a 8.820
_cell_length_b 8.820
_cell_length_c 8.820
_cell_angle_alpha 109.47
_cell_angle_beta 109.47
_cell_angle_gamma 109.47
loop_
_space_group_symop_operation_xyz
'x,y,z'
loop_
_atom_site_label
_atom_site_fract_x
_atom_site_fract_y
_atom_site_fract_z
Ca1 0.717 0.000 0.717
Sn1 0.000 0.500 0.000
Sn2 0.500 0.500 0.500
Ca2 0.750 0.500 0.250
Sn3 0.000 0.000 0.500
Ca3 0.717 0.717 0.000
N1 0.500 0.500 0.000
Ca4 0.000 0.717 0.717
Ca5 0.250 0.750 0.500
Ca6 0.250 0.500 0.750
Ca7 0.000 0.283 0.283
Ca8 0.500 0.750 0.250
Ca9 0.283 0.283 0.000
Hg1 0.000 0.000 0.000
Sn4 0.500 0.000 0.000
Ca10 0.283 0.000 0.283
N2 0.000 0.500 0.500
Ca11 0.500 0.250 0.750
N3 0.500 0.000 0.500
Ca12 0.750 0.250 0.500
```

***

[7]
## SrCaHg2N (PBE)

Data for SrCaHg2N after structural relaxation.

Calculated values
* calculated total energy: -1.189 eV/atom

```
data_SrCaHg2N
_chemical_formula_sum 'Sr1 Ca1 Hg2 N1'
_space_group_name_H-M_alt 'P 1'
_space_group_IT_number 1
_cell_length_a 5.568
_cell_length_b 7.290
_cell_length_c 5.568
_cell_angle_alpha 90.00
_cell_angle_beta 90.00
_cell_angle_gamma 90.00
loop_
_space_group_symop_operation_xyz
'x,y,z'
loop_
_atom_site_label
_atom_site_fract_x
_atom_site_fract_y
_atom_site_fract_z
Sr1 0.000 0.500 0.000
Ca1 0.000 0.000 0.000
N1 0.500 0.500 0.500
Hg1 0.000 0.000 0.500
Hg2 0.500 0.000 0.000
```

***

[8]
## CaHgTeN2 (PBE)

Data for CaHgTeN2 after structural relaxation.

Calculated values
* E above lowest polymorph: 0.0 kJ per mole of atoms

```
data_CaHgTeN2
_chemical_formula_sum 'Ca1 Hg1 Te1 N2'
_space_group_name_H-M_alt 'P 1'
_space_group_IT_number 1
_cell_length_a 4.443
_cell_length_b 4.443
_cell_length_c 6.053
_cell_angle_alpha 90.00
_cell_angle_beta 90.00
_cell_angle_gamma 90.00
loop_
_space_group_symop_operation_xyz
'x,y,z'
loop_
_atom_site_label
_atom_site_fract_x
_atom_site_fract_y
_atom_site_fract_z
N1 0.500 0.000 0.000
Hg1 0.000 0.000 0.000
Ca1 0.500 0.500 0.500
Te1 0.000 0.000 0.500
N2 0.000 0.500 0.000
```

***

[9]
## CaHgTeN2 (PBE)

Data for CaHgTeN2 after structural relaxation.

Calculated values
* E above lowest polymorph: 2.4 kJ per mole of atoms

```
data_CaHgTeN2
_chemical_formula_sum 'Ca1 Hg1 Te1 N2'
_space_group_name_H-M_alt 'P 1'
_space_group_IT_number 1
_cell_length_a 4.615
_cell_length_b 4.615
_cell_length_c 6.524
_cell_angle_alpha 90.00
_cell_angle_beta 90.00
_cell_angle_gamma 90.00
loop_
_space_group_symop_operation_xyz
'x,y,z'
loop_
_atom_site_label
_atom_site_fract_x
_atom_site_fract_y
_atom_site_fract_z
Te1 0.000 0.000 0.500
N1 0.000 0.500 0.000
N2 0.500 0.000 0.000
Ca1 0.000 0.000 0.000
Hg1 0.500 0.500 0.500
```

***

[10]
## CaTlHg2N (PBE)

Data for CaTlHg2N after structural relaxation.

Calculated values
* calculated total energy: -2.221 eV/atom

```
data_CaTlHg2N
_chemical_formula_sum 'Ca1 Tl1 Hg2 N1'
_space_group_name_H-M_alt 'P 1'
_space_group_IT_number 1
_cell_length_a 6.137
_cell_length_b 4.246
_cell_length_c 6.137
_cell_angle_alpha 90.00
_cell_angle_beta 90.00
_cell_angle_gamma 90.00
loop_
_space_group_symop_operation_xyz
'x,y,z'
loop_
_atom_site_label
_atom_site_fract_x
_atom_site_fract_y
_atom_site_fract_z
Tl1 0.500 0.500 0.500
Ca1 0.000 0.000 0.000
Hg1 0.500 0.000 0.000
Hg2 0.000 0.000 0.500
N1 0.000 0.500 0.000
```

***

[11]
## Ca2YHgN (PBE)

Data for Ca2YHgN after structural relaxation.

Calculated values
* calculated total energy: -4.574 eV/atom

```
data_Ca2YHgN
_chemical_formula_sum 'Ca2 Y1 Hg1 N1'
_space_group_name_H-M_alt 'P 1'
_space_group_IT_number 1
_cell_length_a 4.984
_cell_length_b 4.984
_cell_length_c 4.697
_cell_angle_alpha 90.00
_cell_angle_beta 90.00
_cell_angle_gamma 90.00
loop_
_space_group_symop_operation_xyz
'x,y,z'
loop_
_atom_site_label
_atom_site_fract_x
_atom_site_fract_y
_atom_site_fract_z
Y1 0.000 0.000 0.500
N1 0.000 0.000 0.000
Hg1 0.500 0.500 0.500
Ca1 0.000 0.500 0.000
Ca2 0.500 0.000 0.000
```

***

[12]
## CaY2HgN (PBE)

Data for CaY2HgN after structural relaxation.

Calculated values
* calculated total energy: -5.542 eV/atom

```
data_CaY2HgN
_chemical_formula_sum 'Ca1 Y2 Hg1 N1'
_space_group_name_H-M_alt 'P 1'
_space_group_IT_number 1
_cell_length_a 4.799
_cell_length_b 4.799
_cell_length_c 4.928
_cell_angle_alpha 90.00
_cell_angle_beta 90.00
_cell_angle_gamma 90.00
loop_
_space_group_symop_operation_xyz
'x,y,z'
loop_
_atom_site_label
_atom_site_fract_x
_atom_site_fract_y
_atom_site_fract_z
Y1 0.500 0.000 0.000
N1 0.000 0.000 0.000
Hg1 0.500 0.500 0.500
Ca1 0.000 0.000 0.500
Y2 0.000 0.500 0.000
```

***

[13]
## Ca2ZnHgN (PBE)

Data for Ca2ZnHgN after structural relaxation.

Calculated values
* calculated total energy: -3.243 eV/atom

```
data_Ca2ZnHgN
_chemical_formula_sum 'Ca2 Zn1 Hg1 N1'
_space_group_name_H-M_alt 'P 1'
_space_group_IT_number 1
_cell_length_a 5.011
_cell_length_b 5.011
_cell_length_c 4.070
_cell_angle_alpha 90.00
_cell_angle_beta 90.00
_cell_angle_gamma 90.00
loop_
_space_group_symop_operation_xyz
'x,y,z'
loop_
_atom_site_label
_atom_site_fract_x
_atom_site_fract_y
_atom_site_fract_z
Ca1 0.000 0.500 0.000
Zn1 0.000 0.000 0.500
N1 0.000 0.000 0.000
Hg1 0.500 0.500 0.500
Ca2 0.500 0.000 0.000
```

***

[14]
## CaZrHg2N (PBE)

Data for CaZrHg2N after structural relaxation.

Calculated values
* calculated total energy: -3.964 eV/atom

```
data_CaZrHg2N
_chemical_formula_sum 'Ca1 Zr1 Hg2 N1'
_space_group_name_H-M_alt 'P 1'
_space_group_IT_number 1
_cell_length_a 5.716
_cell_length_b 4.121
_cell_length_c 5.716
_cell_angle_alpha 90.00
_cell_angle_beta 90.00
_cell_angle_gamma 90.00
loop_
_space_group_symop_operation_xyz
'x,y,z'
loop_
_atom_site_label
_atom_site_fract_x
_atom_site_fract_y
_atom_site_fract_z
Zr1 0.000 0.000 0.000
Hg1 0.500 0.000 0.000
N1 0.000 0.500 0.000
Hg2 0.000 0.000 0.500
Ca1 0.500 0.500 0.500
```

***

[15]
## CaZr2HgN (PBE)

Data for CaZr2HgN after structural relaxation.

Calculated values
* calculated total energy: -6.246 eV/atom

```
data_CaZr2HgN
_chemical_formula_sum 'Ca1 Zr2 Hg1 N1'
_space_group_name_H-M_alt 'P 1'
_space_group_IT_number 1
_cell_length_a 4.513
_cell_length_b 4.513
_cell_length_c 4.811
_cell_angle_alpha 90.00
_cell_angle_beta 90.00
_cell_angle_gamma 90.00
loop_
_space_group_symop_operation_xyz
'x,y,z'
loop_
_atom_site_label
_atom_site_fract_x
_atom_site_fract_y
_atom_site_fract_z
Hg1 0.500 0.500 0.500
Zr1 0.500 0.000 0.000
N1 0.000 0.000 0.000
Ca1 0.000 0.000 0.500
Zr2 0.000 0.500 0.000
```

***

[16]
## NaCaHg3 (PBE)

Data for NaCaHg3 after structural relaxation.

Calculated values
* E above lowest polymorph: 32.7 kJ per mole of atoms
* energy of formation from the pure elements: 0.011 eV per atom

```
data_NaCaHg3
_chemical_formula_sum 'Na1 Ca1 Hg3'
_space_group_name_H-M_alt 'P 1'
_space_group_IT_number 1
_cell_length_a 5.406
_cell_length_b 5.406
_cell_length_c 5.406
_cell_angle_alpha 90.00
_cell_angle_beta 90.00
_cell_angle_gamma 90.00
loop_
_space_group_symop_operation_xyz
'x,y,z'
loop_
_atom_site_label
_atom_site_fract_x
_atom_site_fract_y
_atom_site_fract_z
Hg1 0.500 0.000 0.000
Na1 0.000 0.000 0.000
Hg2 0.000 0.000 0.500
Hg3 0.000 0.500 0.000
Ca1 0.500 0.500 0.500
```

***

[17]
## NaCa3Hg7 (PBE)

Data for NaCa3Hg7 after structural relaxation.

Calculated values
* energy of formation from the pure elements: -0.346 eV per atom

```
data_NaCa3Hg7
_chemical_formula_sum 'Na2 Ca6 Hg14'
_space_group_name_H-M_alt 'P 1'
_space_group_IT_number 1
_cell_length_a 3.871
_cell_length_b 10.522
_cell_length_c 15.116
_cell_angle_alpha 90.00
_cell_angle_beta 90.00
_cell_angle_gamma 100.60
loop_
_space_group_symop_operation_xyz
'x,y,z'
loop_
_atom_site_label
_atom_site_fract_x
_atom_site_fract_y
_atom_site_fract_z
Hg1 0.323 0.646 0.144
Hg2 0.323 0.646 0.356
Hg3 0.677 0.354 0.856
Ca1 0.911 0.823 0.926
Hg4 0.565 0.130 0.250
Ca2 0.089 0.177 0.074
Hg5 0.435 0.870 0.750
Ca3 0.089 0.177 0.426
Ca4 0.721 0.442 0.250
Hg6 0.463 0.926 0.090
Hg7 0.463 0.926 0.410
Na1 0.927 0.854 0.250
Hg8 0.537 0.074 0.910
Hg9 0.293 0.586 0.949
Na2 0.073 0.146 0.750
Hg10 0.293 0.586 0.551
Ca5 0.279 0.558 0.750
Hg11 0.707 0.414 0.449
Hg12 0.677 0.354 0.644
Hg13 0.707 0.414 0.051
Hg14 0.537 0.074 0.590
Ca6 0.911 0.823 0.574
```

***

[18]
## Na3CaHg (PBE)

Data for Na3CaHg after structural relaxation.

Calculated values
* E above lowest polymorph: 0.0 kJ per mole of atoms
* energy of formation from the pure elements: 0.061 eV per atom

```
data_Na3CaHg
_chemical_formula_sum 'Na3 Ca1 Hg1'
_space_group_name_H-M_alt 'P 1'
_space_group_IT_number 1
_cell_length_a 5.781
_cell_length_b 5.781
_cell_length_c 5.781
_cell_angle_alpha 90.00
_cell_angle_beta 90.00
_cell_angle_gamma 90.00
loop_
_space_group_symop_operation_xyz
'x,y,z'
loop_
_atom_site_label
_atom_site_fract_x
_atom_site_fract_y
_atom_site_fract_z
Na1 0.500 0.000 0.000
Na2 0.000 0.500 0.000
Hg1 0.000 0.000 0.000
Na3 0.000 0.000 0.500
Ca1 0.500 0.500 0.500
```

***

[19]
## NaCa2Hg6 (PBE)

Data for NaCa2Hg6 after structural relaxation.

Calculated values
* energy of formation from the pure elements: -0.369 eV per atom

```
data_NaCa2Hg6
_chemical_formula_sum 'Na1 Ca2 Hg6'
_space_group_name_H-M_alt 'P 1'
_space_group_IT_number 1
_cell_length_a 3.530
_cell_length_b 9.439
_cell_length_c 9.439
_cell_angle_alpha 54.95
_cell_angle_beta 67.96
_cell_angle_gamma 67.96
loop_
_space_group_symop_operation_xyz
'x,y,z'
loop_
_atom_site_label
_atom_site_fract_x
_atom_site_fract_y
_atom_site_fract_z
Hg1 0.500 0.332 0.668
Ca1 0.667 0.667 0.667
Na1 0.000 0.000 0.000
Hg2 0.830 0.000 0.667
Hg3 0.170 0.000 0.333
Hg4 0.170 0.333 0.000
Ca2 0.333 0.333 0.333
Hg5 0.500 0.668 0.332
Hg6 0.830 0.667 0.000
```

***

[20]
## NaCa3Hg2 (PBE)

Data for NaCa3Hg2 after structural relaxation.

Calculated values
* energy of formation from the pure elements: -0.374 eV per atom

```
data_NaCa3Hg2
_chemical_formula_sum 'Na1 Ca3 Hg2'
_space_group_name_H-M_alt 'P 1'
_space_group_IT_number 1
_cell_length_a 3.842
_cell_length_b 3.842
_cell_length_c 12.552
_cell_angle_alpha 90.00
_cell_angle_beta 90.00
_cell_angle_gamma 90.00
loop_
_space_group_symop_operation_xyz
'x,y,z'
loop_
_atom_site_label
_atom_site_fract_x
_atom_site_fract_y
_atom_site_fract_z
Hg1 0.500 0.500 0.154
Ca1 0.000 0.000 0.710
Ca2 0.000 0.000 0.000
Hg2 0.500 0.500 0.846
Ca3 0.000 0.000 0.290
Na1 0.500 0.500 0.500
```

***

Number 1: DOS(E_F) 4.72 states/eV per cell. Number 2: DOS(E_F) 5.67 states/eV per cell. Number 3: DOS(E_F) 5.21 states/eV per cell. Number 4: DOS(E_F) 1.78 states/eV per cell. Number 5: DOS(E_F) 1.94 states/eV per cell. Number 6: DOS(E_F) 9.52 states/eV per cell. Number 7: DOS(E_F) 9.00 states/eV per cell. Number 8: DOS(E_F) 2.54 states/eV per cell. Number 9: DOS(E_F) 2.69 states/eV per cell. Number 10: DOS(E_F) 3.04 states/eV per cell. Number 11: DOS(E_F) 4.92 states/eV per cell. Number 12: DOS(E_F) 5.95 states/eV per cell. Number 13: DOS(E_F) 1.65 states/eV per cell. Number 14: DOS(E_F) 4.67 states/eV per cell. Number 15: DOS(E_F) 2.62 states/eV per cell. Number 16: DOS(E_F) 2.86 states/eV per cell. Number 17: DOS(E_F) 12.17 states/eV per cell. Number 18: DOS(E_F) 3.07 states/eV per cell. Number 19: DOS(E_F) 4.96 states/eV per cell. Number 20: DOS(E_F) 2.84 states/eV per cell.